Entry 1:
MnAgTe2 | PBE | relaxed

Output
As for the volume: 202 Å³ per cell.

Cell lengths 8.258, 8.019, 3.230 Å; angles 90.00, 109.24, 90.00 degrees
Atoms (fractional coordinates):
Mn: 0.000 0.000 0.000
Mn: 0.500 0.500 0.000
Ag: 0.000 0.500 0.000
Ag: 0.500 0.000 0.000
Te: 0.250 0.250 0.000
Te: 0.250 0.750 0.000
Te: 0.750 0.250 0.000
Te: 0.750 0.750 0.000



Entry 2:
MnAgTe2 | PBE | relaxed

Output
As for the volume: 212 Å³ per cell.

Cell lengths 4.012, 6.627, 7.991 Å; angles 90.00, 90.00, 90.00 degrees
Atoms (fractional coordinates):
Mn: 0.000 0.000 0.000
Mn: 0.500 0.500 0.000
Ag: 0.000 0.000 0.500
Ag: 0.500 0.500 0.500
Te: 0.000 0.500 0.232
Te: 0.000 0.500 0.768
Te: 0.500 0.000 0.232
Te: 0.500 0.000 0.768



Entry 3:
MnAg4Te | PBE | relaxed

Output
As for the volume: 122 Å³ per cell.

Cell lengths 5.573, 5.573, 5.573 Å; angles 60.00, 60.00, 60.00 degrees
Atoms (fractional coordinates):
Mn: 0.000 0.000 0.000
Ag: 0.374 0.374 0.374
Ag: 0.374 0.374 0.877
Ag: 0.374 0.877 0.374
Ag: 0.877 0.374 0.374
Te: 0.750 0.750 0.750



Entry 4:
MnAgTe2 | PBE | relaxed

Output
As for the volume: 198 Å³ per cell.

Cell lengths 3.707, 3.958, 13.512 Å; angles 90.00, 90.00, 90.00 degrees
Atoms (fractional coordinates):
Mn: 0.000 0.000 0.000
Mn: 0.500 0.500 0.500
Ag: 0.000 0.500 0.250
Ag: 0.500 0.000 0.750
Te: 0.000 0.000 0.418
Te: 0.000 0.500 0.651
Te: 0.500 0.000 0.151
Te: 0.500 0.500 0.918



Entry 5:
Mn3AgTe | PBE | relaxed

Output
As for the volume: 119 Å³ per cell. The excess energy over the best structure of this formula in the dataset is 0.00 eV per formula unit.

Cell lengths 4.923, 4.923, 4.923 Å; angles 90.00, 90.00, 90.00 degrees
Atoms (fractional coordinates):
Mn: 0.000 0.000 0.500
Mn: 0.000 0.500 0.000
Mn: 0.500 0.000 0.000
Ag: 0.000 0.000 0.000
Te: 0.500 0.500 0.500



Entry 6:
MnAgTe2 | PBE | relaxed

Output
As for the volume: 93 Å³ per cell.

Cell lengths 3.552, 3.552, 8.488 Å; angles 90.00, 90.00, 120.00 degrees
Atoms (fractional coordinates):
Mn: 0.000 0.000 0.000
Ag: 0.667 0.333 0.539
Te: 0.000 0.000 0.292
Te: 0.333 0.667 0.828



Entry 7:
MnAgTe2 | PBE | relaxed

Output
As for the volume: 187 Å³ per cell.

Cell lengths 6.410, 7.521, 3.882 Å; angles 90.00, 90.00, 90.00 degrees
Atoms (fractional coordinates):
Mn: 0.000 0.000 0.000
Mn: 0.500 0.500 0.000
Ag: 0.000 0.500 0.000
Ag: 0.500 0.000 0.000
Te: 0.250 0.250 0.500
Te: 0.250 0.750 0.500
Te: 0.750 0.250 0.500
Te: 0.750 0.750 0.500



Entry 8:
MnAgTe4 | PBE | relaxed

Output
As for the volume: 322 Å³ per cell. The excess energy over the best structure of this formula in the dataset is 0.00 eV per formula unit.

Cell lengths 13.416, 3.239, 7.955 Å; angles 90.00, 111.55, 90.00 degrees
Atoms (fractional coordinates):
Mn: 0.000 0.000 0.000
Mn: 0.500 0.500 0.000
Ag: 0.000 0.500 0.500
Ag: 0.500 0.000 0.500
Te: 0.124 0.500 0.250
Te: 0.137 0.000 0.809
Te: 0.363 0.500 0.191
Te: 0.376 0.000 0.750
Te: 0.624 0.000 0.250
Te: 0.637 0.500 0.809
Te: 0.863 0.000 0.191
Te: 0.876 0.500 0.750



Entry 9:
MnAgTe | PBE | relaxed

Output
As for the volume: 68 Å³ per cell. The excess energy over the best structure of this formula in the dataset is 0.39 eV per formula unit.

Cell lengths 4.206, 4.206, 4.452 Å; angles 90.00, 90.00, 120.00 degrees
Atoms (fractional coordinates):
Mn: 0.000 0.000 0.000
Ag: 0.333 0.667 0.690
Te: 0.667 0.333 0.301



Entry 10:
MnAgTe2 | PBE | relaxed

Output
As for the volume: 213 Å³ per cell.

Cell lengths 7.078, 4.206, 7.435 Å; angles 90.00, 105.86, 90.00 degrees
Atoms (fractional coordinates):
Mn: 0.220 0.250 0.000
Mn: 0.780 0.750 0.000
Ag: 0.361 0.250 0.416
Ag: 0.639 0.750 0.584
Te: 0.037 0.750 0.775
Te: 0.483 0.750 0.194
Te: 0.517 0.250 0.806
Te: 0.963 0.250 0.225



Entry 11:
Mn2AgTe2 | PBE | relaxed

Output
As for the volume: 211 Å³ per cell.

Cell lengths 3.681, 3.681, 15.608 Å; angles 90.00, 90.00, 90.00 degrees
Atoms (fractional coordinates):
Mn: 0.000 0.500 0.250
Mn: 0.000 0.500 0.750
Mn: 0.500 0.000 0.250
Mn: 0.500 0.000 0.750
Ag: 0.000 0.000 0.000
Ag: 0.500 0.500 0.500
Te: 0.000 0.000 0.369
Te: 0.000 0.000 0.631
Te: 0.500 0.500 0.131
Te: 0.500 0.500 0.869



Entry 12:
MnAgTe2 | PBE | relaxed

Output
As for the volume: 90 Å³ per cell.

Cell lengths 3.984, 3.984, 5.670 Å; angles 90.00, 90.00, 90.00 degrees
Atoms (fractional coordinates):
Mn: 0.000 0.000 0.000
Ag: 0.500 0.500 0.500
Te: 0.000 0.000 0.500
Te: 0.500 0.500 0.000



no.,ΔE_f (raw) (eV per atom),calculated total energy (eV per atom),total magnetic moment (μB per atom)
1,0.16,-4.416,1.152
2,0.18,-4.395,1.078
3,0.26,-3.688,0.817
4,0.05,-4.531,1.006
5,0.90,-5.796,2.493
6,0.41,-4.170,0.000
7,0.26,-4.313,1.099
8,-0.05,-4.144,0.389
9,0.22,-4.834,1.435
10,-0.10,-4.680,1.004
11,0.18,-5.318,0.851
12,0.01,-4.565,1.094